Entry 1:
VASP calculation (GGA-PBE) on crystalline KDy2Ho3Te6 at its relaxed geometry.

Cell: 9.8918 9.8918 8.9689 Å, 103.65 103.65 25.46°
Last column: nearest neighbours and their distance in Å.
Fractional coordinates of all 12 atoms:
K1 0.0000 0.0000 0.0000  6 Te 3.22-3.28
Dy1 0.3296 0.3296 0.6540  6 Te 3.07-3.21
Dy2 0.6704 0.6704 0.3460  6 Te 3.07-3.21
Ho1 0.0000 0.0000 0.5000  6 Te 3.03-3.09
Ho2 0.3391 0.3391 0.1797  6 Te 3.05-3.19
Ho3 0.6609 0.6609 0.8203  6 Te 3.05-3.19
Te1 0.1649 0.1649 0.5846  3 Ho 3.05-3.09, 3 Dy 3.07-3.09
Te2 0.1750 0.1750 0.0859  3 Ho 3.07-3.19, 2 Dy 3.21, 1 K 3.28
Te3 0.4964 0.4964 0.7332  3 Ho 3.03-3.08, 1 Dy 3.12, 2 K 3.22
Te4 0.5036 0.5036 0.2668  3 Ho 3.03-3.08, 1 Dy 3.12, 2 K 3.22
Te5 0.8250 0.8250 0.9141  3 Ho 3.07-3.19, 2 Dy 3.21, 1 K 3.28
Te6 0.8351 0.8351 0.4154  3 Ho 3.05-3.09, 3 Dy 3.07-3.09

total DFT energy (no corrections) = -4.8489 eV per atom
ΔE_f (raw) = -1.275 eV/atom
V = 30.5 A^3/atom

---

Entry 2:
VASP calculation (GGA-PBE) on crystalline K4Dy3HoTe8 at its relaxed geometry.

Cell: 9.7359 9.7359 9.7359 Å, 54.94 54.94 54.94°
Last column: nearest neighbours and their distance in Å.
Fractional coordinates of all 16 atoms:
K1 0.0000 0.0000 0.0000  6 Te 3.54
K2 0.0000 0.5000 0.5000  6 Te 3.53
K3 0.5000 0.0000 0.5000  6 Te 3.53
K4 0.5000 0.5000 0.0000  6 Te 3.53
Dy1 0.0000 0.0000 0.5000  6 Te 3.11
Dy2 0.0000 0.5000 0.0000  6 Te 3.11
Dy3 0.5000 0.0000 0.0000  6 Te 3.11
Ho1 0.5000 0.5000 0.5000  6 Te 3.10
Te1 0.2362 0.2362 0.2362  3 Dy 3.11
Te2 0.2370 0.7356 0.7356  1 Ho 3.10, 2 Dy 3.11
Te3 0.2644 0.2644 0.7630  1 Ho 3.10, 2 Dy 3.11
Te4 0.2644 0.7630 0.2644  1 Ho 3.10, 2 Dy 3.11
Te5 0.7356 0.2370 0.7356  1 Ho 3.10, 2 Dy 3.11
Te6 0.7356 0.7356 0.2370  1 Ho 3.10, 2 Dy 3.11
Te7 0.7630 0.2644 0.2644  1 Ho 3.10, 2 Dy 3.11
Te8 0.7638 0.7638 0.7638  3 Dy 3.11

total DFT energy (no corrections) = -4.3893 eV per atom
ΔE_f (raw) = -1.395 eV/atom
V = 36.0 A^3/atom

---

Entry 3:
VASP calculation (GGA-PBE) on crystalline La12DyHo5 at its relaxed geometry.

Cell: 6.3664 6.3664 18.0589 Å, 93.32 93.32 120.03°
Last column: nearest neighbours and their distance in Å.
Fractional coordinates of all 18 atoms:
La1 0.0538 0.3875 0.1640  2 Ho 3.63, 1 Dy 3.63, 9 La 3.67-3.77
La2 0.1134 0.1134 0.3374  3 Ho 3.61, 9 La 3.67-3.77
La3 0.2200 0.5534 0.6626  3 Ho 3.61, 9 La 3.67-3.77
La4 0.2798 0.2798 0.8360  2 Ho 3.63, 1 Dy 3.63, 9 La 3.67-3.77
La5 0.3875 0.0538 0.1640  2 Ho 3.63, 1 Dy 3.63, 9 La 3.67-3.77
La6 0.4466 0.7800 0.3374  3 Ho 3.61, 9 La 3.67-3.77
La7 0.5534 0.2200 0.6626  3 Ho 3.61, 9 La 3.67-3.77
La8 0.6125 0.9462 0.8360  2 Ho 3.63, 1 Dy 3.63, 9 La 3.67-3.77
La9 0.7202 0.7202 0.1640  2 Ho 3.63, 1 Dy 3.63, 9 La 3.67-3.77
La10 0.7800 0.4466 0.3374  3 Ho 3.61, 9 La 3.67-3.77
La11 0.8866 0.8866 0.6626  3 Ho 3.61, 9 La 3.67-3.77
La12 0.9462 0.6125 0.8360  2 Ho 3.63, 1 Dy 3.63, 9 La 3.67-3.77
Dy1 0.0000 0.0000 0.0000  6 La 3.63, 6 Ho 3.67-3.68
Ho1 0.1666 0.8334 0.5000  6 La 3.61, 6 Ho 3.67-3.68
Ho2 0.3333 0.6667 0.0000  6 La 3.63, 3 Ho 3.67-3.68, 3 Dy 3.67-3.68
Ho3 0.5000 0.5000 0.5000  6 La 3.61, 6 Ho 3.67-3.68
Ho4 0.6667 0.3333 0.0000  6 La 3.63, 3 Ho 3.67-3.68, 3 Dy 3.67-3.68
Ho5 0.8334 0.1666 0.5000  6 La 3.61, 6 Ho 3.67-3.68

total DFT energy (no corrections) = -4.7955 eV per atom
V = 35.0 A^3/atom
ΔE_f = 0.4 kcal/mol of atoms

---

Entry 4:
VASP calculation (GGA-PBE) on crystalline LaDy2Ho7 at its relaxed geometry.

Cell: 6.1505 7.1000 7.9389 Å, 77.06 75.10 73.23°
Last column: nearest neighbours and their distance in Å.
Fractional coordinates of all 10 atoms:
La1 0.0000 0.0000 0.0000  10 Ho 3.55-3.57, 2 Dy 3.56
Dy1 0.1998 0.3015 0.5986  10 Ho 3.53-3.56, 1 Dy 3.53, 1 La 3.56
Dy2 0.8002 0.6985 0.4014  10 Ho 3.53-3.56, 1 Dy 3.53, 1 La 3.56
Ho1 0.0000 0.5000 0.0000  8 Ho 3.55-3.56, 2 La 3.55, 2 Dy 3.56
Ho2 0.2010 0.7992 0.5988  7 Ho 3.53-3.56, 4 Dy 3.54-3.56, 1 La 3.56
Ho3 0.3998 0.1002 0.2018  2 Dy 3.53-3.56, 8 Ho 3.54-3.58, 2 La 3.56
Ho4 0.4020 0.5980 0.2017  3 Dy 3.53-3.56, 8 Ho 3.53-3.57, 1 La 3.57
Ho5 0.5980 0.4020 0.7983  3 Dy 3.53-3.56, 8 Ho 3.53-3.57, 1 La 3.57
Ho6 0.6002 0.8998 0.7982  2 Dy 3.53-3.56, 8 Ho 3.54-3.58, 2 La 3.56
Ho7 0.7990 0.2008 0.4012  7 Ho 3.53-3.56, 4 Dy 3.54-3.56, 1 La 3.56

energy relative to the lowest polymorph listed for this composition = 0.0 meV per atom
total DFT energy (no corrections) = -4.5951 eV per atom
V = 31.7 A^3/atom
ΔE_f = 0.5 kcal/mol of atoms

---

- Which of these has the highest total DFT energy (no corrections)?
  K4Dy3HoTe8

---

- What is the V in the first record?
  30.5 A^3/atom

---

- Number 1 is which compound?
  KDy2Ho3Te6